Entry 1:
The following is a PBE-GGA calculation of crystalline La2SmTl at its relaxed geometry, from Alexandria via LeMat-Bulk.

Results
**Space-group type**: Pmmn
**Total moment**: 0.0 μB/f.u.
**Energy of formation**: -0.21 eV/atom
**Polymorph energy (0 for the lowest one)**: 0.009 eV per atom
**Crystal system**: orthorhombic

```
La2SmTl
1.0
5.836 0.000 0.000
0.000 6.901 0.000
0.000 0.000 6.289
La Sm Tl
4 2 2
Direct
0.250 0.006 0.129
0.250 0.494 0.129
0.750 0.506 0.871
0.750 0.994 0.871
0.250 0.250 0.615
0.750 0.750 0.385
0.250 0.750 0.651
0.750 0.250 0.349
```

Entry 2:
The following is a PBE-GGA calculation of crystalline TlVCl2 at its relaxed geometry, from Alexandria via LeMat-Bulk.

Results
**Space-group type**: R-3m
**Total moment**: 3.5 μB/f.u.
**Formation energy (no corrections)**: -0.32 eV per atom
**Polymorph energy (0 for the lowest one)**: 0.410 eV per atom
**Crystal system**: trigonal

```
TlVCl2
1.0
1.803 1.041 9.551
-1.803 1.041 9.551
0.000 -2.082 9.551
Tl V Cl
1 1 2
Direct
0.000 0.000 0.000
0.500 0.500 0.500
0.421 0.421 0.421
0.579 0.579 0.579
```

Entry 3:
The following is a PBE-GGA calculation of crystalline LiPm2CoH6 at its relaxed geometry, from Alexandria via LeMat-Bulk.

Results
**Space-group type**: P-3m1
**Total moment**: 0.0 μB/f.u.
**Crystal system**: trigonal

```
LiPm2CoH6
1.0
4.966 0.000 0.000
-2.483 4.300 0.000
0.000 0.000 4.643
Li Pm Co H
1 2 1 6
Direct
0.000 0.000 0.000
0.333 0.667 0.262
0.667 0.333 0.738
0.000 0.000 0.500
0.159 0.317 0.715
0.159 0.841 0.715
0.317 0.159 0.285
0.683 0.841 0.715
0.841 0.159 0.285
0.841 0.683 0.285
```

Entry 4:
The following is a PBE-GGA calculation of crystalline LiAl2Cr2 at its relaxed geometry, from Alexandria via LeMat-Bulk.

Results
**Space-group type**: P4/mbm
**Total moment**: 0.0 μB/f.u.
**Energy of formation**: 0.08 eV/atom
**Polymorph energy (0 for the lowest one)**: 0.000 eV per atom
**Crystal system**: tetragonal

```
LiAl2Cr2
1.0
7.531 0.000 0.000
0.000 7.531 0.000
0.000 0.000 2.604
Li Al Cr
2 4 4
Direct
0.000 0.000 0.000
0.500 0.500 0.000
0.188 0.312 0.500
0.312 0.812 0.500
0.688 0.188 0.500
0.812 0.688 0.500
0.104 0.604 0.000
0.396 0.104 0.000
0.604 0.896 0.000
0.896 0.396 0.000
```

Entry 5:
The following is a PBE-GGA calculation of crystalline Ba2TcAu at its relaxed geometry, from Alexandria via LeMat-Bulk.

Results
**Space-group type**: F-43m
**Total moment**: 2.2 μB/f.u.
**Energy of formation**: 0.57 eV/atom
**Polymorph energy (0 for the lowest one)**: 0.409 eV per atom
**Crystal system**: cubic

```
Ba2TcAu
1.0
0.000 3.825 3.825
3.825 0.000 3.825
3.825 3.825 0.000
Ba Tc Au
2 1 1
Direct
0.000 0.000 0.000
0.250 0.250 0.250
0.750 0.750 0.750
0.500 0.500 0.500
```

Entry 6:
The following is a PBE-GGA calculation of crystalline NdSmI at its relaxed geometry, from Alexandria via LeMat-Bulk.

Results
**Space-group type**: P3m1
**Total moment**: 0.4 μB/f.u.
**Formation energy (no corrections)**: -0.55 eV per atom
**Polymorph energy (0 for the lowest one)**: 0.000 eV per atom
**Crystal system**: trigonal

```
NdSmI
1.0
3.921 0.000 0.000
-1.961 3.396 0.000
0.000 0.000 7.810
Nd Sm I
1 1 1
Direct
0.000 0.000 0.000
0.667 0.333 0.356
0.333 0.667 0.673
```

Entry 7:
The following is a PBE-GGA calculation of crystalline Nd3ScSn3 at its relaxed geometry, from Alexandria via LeMat-Bulk.

Results
**Space-group type**: C2/m
**Total moment**: 0.0 μB/f.u.
**Energy of formation**: -0.46 eV/atom
**Crystal system**: monoclinic

```
Nd3ScSn3
1.0
4.303 -6.576 0.000
4.303 6.576 0.000
-0.259 0.000 7.884
Nd Sc Sn
6 2 6
Direct
0.157 0.843 0.000
0.227 0.773 0.500
0.375 0.375 0.150
0.625 0.625 0.850
0.773 0.227 0.500
0.843 0.157 0.000
0.282 0.282 0.594
0.718 0.718 0.406
0.053 0.053 0.312
0.154 0.495 0.805
0.495 0.154 0.805
0.505 0.846 0.195
0.846 0.505 0.195
0.947 0.947 0.688
```

Entry 8:
The following is a PBE-GGA calculation of crystalline AgHgRh2 at its relaxed geometry, from Alexandria via LeMat-Bulk.

Results
**Space-group type**: I-42d
**Total moment**: 1.3 μB/f.u.
**Energy of formation**: 0.64 eV/atom
**Crystal system**: tetragonal

```
AgHgRh2
1.0
-3.713 3.713 2.694
3.713 -3.713 2.694
3.713 3.713 -2.694
Ag Hg Rh
2 2 4
Direct
0.000 0.000 0.000
0.750 0.250 0.500
0.250 0.750 0.500
0.500 0.500 0.000
0.123 0.125 0.498
0.375 0.877 0.002
0.627 0.625 0.502
0.875 0.373 0.998
```

Entry 9:
The following is a PBE-GGA calculation of crystalline MnHgW at its relaxed geometry, from Alexandria via LeMat-Bulk.

Results
**Space-group type**: P3m1
**Total moment**: 1.9 μB/f.u.
**Energy of formation**: 0.56 eV/atom
**Polymorph energy (0 for the lowest one)**: 0.044 eV per atom
**Crystal system**: trigonal

```
MnHgW
1.0
2.970 0.000 0.000
-1.485 2.572 0.000
0.000 0.000 6.676
Mn Hg W
1 1 1
Direct
0.000 0.000 0.000
0.333 0.667 0.650
0.667 0.333 0.267
```

Entry 10:
The following is a PBE-GGA calculation of crystalline ScMnSe4 at its relaxed geometry, from Alexandria via LeMat-Bulk.

Results
**Space-group type**: F-43m
**Total moment**: 4.2 μB/f.u.
**Formation energy (no corrections)**: 0.39 eV per atom
**Crystal system**: cubic

```
ScMnSe4
1.0
0.000 4.022 4.022
4.022 0.000 4.022
4.022 4.022 0.000
Sc Mn Se
1 1 4
Direct
0.000 0.000 0.000
0.250 0.250 0.250
0.125 0.625 0.625
0.625 0.125 0.625
0.625 0.625 0.125
0.625 0.625 0.625
```

Entry 11:
The following is a PBE-GGA calculation of crystalline Ba2CdInPd at its relaxed geometry, from Alexandria via LeMat-Bulk.

Results
**Space-group type**: P4/mmm
**Total moment**: 0.0 μB/f.u.
**Energy of formation**: -0.36 eV/atom
**Polymorph energy (0 for the lowest one)**: 0.000 eV per atom
**Crystal system**: tetragonal

```
Ba2CdInPd
1.0
6.127 0.000 0.000
0.000 6.127 0.000
0.000 0.000 5.211
Ba Cd In Pd
2 1 1 1
Direct
0.000 0.500 0.000
0.500 0.000 0.000
0.000 0.000 0.500
0.500 0.500 0.500
0.500 0.500 0.000
```

Values of VASP energy, in order: -35.589, -16.457, -42.511, -56.521, -15.225, -12.682, -71.795, -30.579, -20.748, -27.089, -14.486, all in eV/cell.